[1]
The following is a DFT calculation (PBE) of an optimized crystal structure of SmGaNO.

a = 5.857 Å, b = 7.703 Å, c = 5.174 Å
α = 90.00°, β = 90.00°, γ = 90.00°
Fractional positions:
Ga1 0.587 0.592 0.990
Ga2 0.087 0.408 0.990
Ga3 0.913 0.592 0.490
Ga4 0.413 0.408 0.490
O1 0.942 0.175 0.050
O2 0.058 0.825 0.550
O3 0.558 0.175 0.550
O4 0.442 0.825 0.050
N1 0.107 0.413 0.621
N2 0.393 0.413 0.121
N3 0.607 0.587 0.621
N4 0.893 0.587 0.121
Sm1 0.451 0.865 0.541
Sm2 0.951 0.135 0.541
Sm3 0.549 0.135 0.041
Sm4 0.049 0.865 0.041

Values from the calculation:
E_tot: -106.46 eV per cell

***

[2]
The following is a DFT calculation (PBE) of an optimized crystal structure of SmGaNO.

a = 3.954 Å, b = 3.954 Å, c = 7.644 Å
α = 90.00°, β = 90.00°, γ = 90.00°
Fractional positions:
O1 0.000 0.000 0.000
O2 0.500 0.500 0.000
Ga1 0.000 0.000 0.500
Ga2 0.500 0.500 0.500
Sm1 0.500 0.000 0.849
Sm2 0.000 0.500 0.151
N1 0.000 0.500 0.619
N2 0.500 0.000 0.381

Values from the calculation:
E_tot: -52.40 eV per cell

***

[3]
The following is a DFT calculation (PBE) of an optimized crystal structure of TbGaNO.

a = 4.164 Å, b = 4.992 Å, c = 5.366 Å
α = 90.00°, β = 90.00°, γ = 90.00°
Fractional positions:
N1 0.000 0.951 0.296
N2 0.000 0.451 0.704
Tb1 0.000 0.463 0.274
Tb2 0.000 0.963 0.726
Ga1 0.500 0.974 0.235
Ga2 0.500 0.474 0.765
O1 0.500 0.366 0.125
O2 0.500 0.866 0.875

Values from the calculation:
E_tot: -53.73 eV per cell

***

[4]
The following is a DFT calculation (PBE) of an optimized crystal structure of TbGaNO.

a = 6.388 Å, b = 7.078 Å, c = 5.063 Å
α = 90.00°, β = 90.00°, γ = 90.00°
Fractional positions:
O1 0.908 0.461 0.172
O2 0.092 0.539 0.672
O3 0.408 0.539 0.172
O4 0.592 0.461 0.672
N1 0.082 0.130 0.488
N2 0.582 0.870 0.488
N3 0.418 0.130 0.988
N4 0.918 0.870 0.988
Tb1 0.434 0.160 0.518
Tb2 0.066 0.160 0.018
Tb3 0.934 0.840 0.518
Tb4 0.566 0.840 0.018
Ga1 0.105 0.648 0.024
Ga2 0.895 0.352 0.524
Ga3 0.395 0.648 0.524
Ga4 0.605 0.352 0.024

Values from the calculation:
E_tot: -105.64 eV per cell

***

[5]
The following is a DFT calculation (PBE) of an optimized crystal structure of TbGaNO.

a = 3.879 Å, b = 3.879 Å, c = 7.599 Å
α = 90.00°, β = 90.00°, γ = 90.00°
Fractional positions:
O1 0.750 0.250 0.000
O2 0.250 0.750 0.000
Tb1 0.250 0.250 0.146
Tb2 0.750 0.750 0.854
Ga1 0.250 0.750 0.500
Ga2 0.750 0.250 0.500
N1 0.250 0.250 0.630
N2 0.750 0.750 0.370

Values from the calculation:
E_tot: -52.47 eV per cell

***

[6]
The following is a DFT calculation (PBE) of an optimized crystal structure of TbGaNO.

a = 4.822 Å, b = 4.822 Å, c = 4.654 Å
α = 90.00°, β = 90.00°, γ = 90.00°
Fractional positions:
N1 0.250 0.250 0.552
N2 0.750 0.750 0.448
O1 0.250 0.750 0.000
O2 0.750 0.250 0.000
Ga1 0.750 0.750 0.015
Ga2 0.250 0.250 0.985
Tb1 0.750 0.250 0.500
Tb2 0.250 0.750 0.500

Values from the calculation:
E_tot: -52.91 eV per cell

***

Number 1: energy above the most stable polymorph in this dataset 30 meV per atom. Number 2: energy above the most stable polymorph in this dataset 134 meV per atom. Number 3: energy above the most stable polymorph in this dataset 0 meV per atom. Number 4: energy above the most stable polymorph in this dataset 113 meV per atom. Number 5: energy above the most stable polymorph in this dataset 158 meV per atom. Number 6: energy above the most stable polymorph in this dataset 103 meV per atom.